Here is crystalline TmMg2S3 at its relaxed geometry from the Open Quantum Materials Database. Energies are from PBE.

It has space group P-3m1 (No. 164), with a = 3.6965 Å, b = 3.6965 Å, c = 9.3790 Å, α = 90.00°, β = 90.00° and γ = 120.00°. The inequivalent atoms are Tm at (0.0000, 0.0000, 0.0000), Mg at (0.3333, 0.6667, 0.6603), S at (0.0000, 0.0000, 0.5000) and S at (0.3333, 0.6667, 0.1812).

As for the energy: -29.17 eV per formula unit. The calculation puts the total magnetization at 0.02 μB per cell.

***

Here is crystalline TmMgS2 at its relaxed geometry from the Open Quantum Materials Database. Energies are from PBE.

It has space group P4/mmm (No. 123), with a = 3.782 Å, b = 3.782 Å, c = 5.408 Å, α = 90.00°, β = 90.00° and γ = 90.00°. The inequivalent atoms are Tm at (0.000, 0.000, 0.000), Mg at (0.500, 0.500, 0.500), S at (0.000, 0.000, 0.500) and S at (0.500, 0.500, 0.000).

As for the energy: -20.61 eV per formula unit. The calculation puts the total magnetization at 0.00 μB per cell.

***

Here is crystalline Tm2MgS3 at its relaxed geometry from the Open Quantum Materials Database. Energies are from PBE.

It has space group P-3m1 (No. 164), with a = 3.7733 Å, b = 3.7733 Å, c = 9.4291 Å, α = 90.00°, β = 90.00° and γ = 120.00°. The inequivalent atoms are Tm at (0.3333, 0.6667, 0.1577), Mg at (0.0000, 0.0000, 0.5000), S at (0.0000, 0.0000, 0.0000) and S at (0.3333, 0.6667, 0.6559).

As for the energy: -33.30 eV per formula unit. The calculation puts the total magnetization at 0.00 μB per cell.

***

Here is crystalline MgScZnSb at its relaxed geometry from the Open Quantum Materials Database. Energies are from PBE.

It has space group F-43m (No. 216), with a = 7.071 Å, b = 7.071 Å, c = 7.071 Å, α = 90.00°, β = 90.00° and γ = 90.00°. The inequivalent atoms are Mg at (0.000, 0.000, 0.000), Sc at (0.250, 0.250, 0.750), Zn at (0.250, 0.250, 0.250) and Sb at (0.000, 0.000, 0.500).

As for the energy: -13.49 eV per formula unit. Its energy above the most stable polymorph in this dataset is 169 meV/atom. The calculation puts the total magnetization at 0.00 μB per cell.

***

Here is crystalline MgScZnSb at its relaxed geometry from the Open Quantum Materials Database. Energies are from PBE.

It has space group F-43m (No. 216), with a = 6.977 Å, b = 6.977 Å, c = 6.977 Å, α = 90.00°, β = 90.00° and γ = 90.00°. The inequivalent atoms are Mg at (0.000, 0.000, 0.000), Sc at (0.000, 0.000, 0.500), Zn at (0.250, 0.250, 0.750) and Sb at (0.250, 0.250, 0.250).

As for the energy: -14.16 eV per formula unit. Its energy above the most stable polymorph in this dataset is 0 meV/atom. The calculation puts the total magnetization at 0.59 μB per cell.

***

Here is crystalline MgScZnSb at its relaxed geometry from the Open Quantum Materials Database. Energies are from PBE.

It has space group F-43m (No. 216), with a = 7.031 Å, b = 7.031 Å, c = 7.031 Å, α = 90.00°, β = 90.00° and γ = 90.00°. The inequivalent atoms are Mg at (0.000, 0.000, 0.000), Sc at (0.250, 0.250, 0.750), Zn at (0.000, 0.000, 0.500) and Sb at (0.250, 0.250, 0.250).

As for the energy: -13.27 eV per formula unit. Its energy above the most stable polymorph in this dataset is 223 meV/atom. The calculation puts the total magnetization at 0.01 μB per cell.

***

Here is crystalline MgSiTcSb at its relaxed geometry from the Open Quantum Materials Database. Energies are from PBE.

It has space group F-43m (No. 216), with a = 6.492 Å, b = 6.492 Å, c = 6.492 Å, α = 90.00°, β = 90.00° and γ = 90.00°. The inequivalent atoms are Mg at (0.000, 0.000, 0.000), Si at (0.250, 0.250, 0.750), Tc at (0.000, 0.000, 0.500) and Sb at (0.250, 0.250, 0.250).

As for the energy: -20.84 eV per formula unit. Its energy above the most stable polymorph in this dataset is 0 meV/atom. The calculation puts the total magnetization at 0.00 μB per cell.

***

Here is crystalline SmMgSb at its relaxed geometry from the Open Quantum Materials Database. Energies are from PBE.

It has space group F-43m (No. 216), with a = 7.294 Å, b = 7.294 Å, c = 7.294 Å, α = 90.00°, β = 90.00° and γ = 90.00°. The inequivalent atoms are Sm at (0.000, 0.000, 0.000), Mg at (0.250, 0.250, 0.750) and Sb at (0.250, 0.250, 0.250).

As for the energy: -11.10 eV per formula unit. Its energy above the most stable polymorph in this dataset is 92 meV/atom. The calculation puts the total magnetization at 0.00 μB per cell.

***

Here is crystalline SmMgSb at its relaxed geometry from the Open Quantum Materials Database. Energies are from PBE.

It has space group F-43m (No. 216), with a = 7.117 Å, b = 7.117 Å, c = 7.117 Å, α = 90.00°, β = 90.00° and γ = 90.00°. The inequivalent atoms are Sm at (0.000, 0.000, 0.000), Mg at (0.000, 0.000, 0.500) and Sb at (0.250, 0.250, 0.750).

As for the energy: -11.38 eV per formula unit. Its energy above the most stable polymorph in this dataset is 0 meV/atom. The calculation puts the total magnetization at 0.01 μB per cell.

***

Here is crystalline Sm2MgSb2 at its relaxed geometry from the Open Quantum Materials Database. Energies are from PBE.

It has space group Cmc2_1 (No. 36), with a = 4.597 Å, b = 18.730 Å, c = 6.611 Å, α = 90.00°, β = 90.00° and γ = 90.00°. The inequivalent atoms are Sm at (0.000, 0.011, 0.000), Sm at (0.000, 0.199, 0.694), Mg at (0.000, 0.399, 0.793), Sb at (0.000, 0.180, 0.190) and Sb at (0.000, 0.416, 0.232).

As for the energy: -23.16 eV per formula unit. The calculation puts the total magnetization at 0.01 μB per cell.

***

Here is crystalline MgTaSb at its relaxed geometry from the Open Quantum Materials Database. Energies are from PBE.

It has space group F-43m (No. 216), with a = 6.650 Å, b = 6.650 Å, c = 6.650 Å, α = 90.00°, β = 90.00° and γ = 90.00°. The inequivalent atoms are Mg at (0.000, 0.000, 0.000), Ta at (0.250, 0.250, 0.250) and Sb at (0.000, 0.000, 0.500).

As for the energy: -15.66 eV per formula unit. Its energy above the most stable polymorph in this dataset is 24 meV/atom. The calculation puts the total magnetization at 7.61 μB per cell.

***

Here is crystalline MgTaSb at its relaxed geometry from the Open Quantum Materials Database. Energies are from PBE.

It has space group F-43m (No. 216), with a = 6.578 Å, b = 6.578 Å, c = 6.578 Å, α = 90.00°, β = 90.00° and γ = 90.00°. The inequivalent atoms are Mg at (0.000, 0.000, 0.000), Ta at (0.000, 0.000, 0.500) and Sb at (0.250, 0.250, 0.250).

As for the energy: -15.73 eV per formula unit. Its energy above the most stable polymorph in this dataset is 0 meV/atom. The calculation puts the total magnetization at 6.50 μB per cell.

***

> Number 4 is which compound?

MgScZnSb